No. 1
Ba2Te3O10 | PBE | relaxed

## Properties
The value obtained for the raw total energy is -85.93 eV/f.u. The calculation puts the formation energy without anion corrections at -1.539 eV per atom. As for the space-group type: No. 12. Its crystal system is monoclinic. The density of states at the Fermi level comes out at 0.00 states/eV/atom. The spin magnetization is 0.00 μB/f.u.

Cell and atoms, written as POSCAR:
```
Ba2Te3O10
1.0
5.737 0.000 -1.867
-0.966 8.239 -2.967
0.059 0.011 9.928
Ba Te O
4 6 20
Direct
0.711 0.301 0.421
0.289 0.699 0.579
0.622 0.732 0.244
0.378 0.268 0.756
0.922 0.539 0.845
0.078 0.461 0.155
0.820 0.994 0.641
0.180 0.006 0.359
0.754 0.000 0.000
0.246 0.000 0.000
0.634 0.988 0.774
0.140 0.988 0.774
0.366 0.012 0.226
0.860 0.012 0.226
0.619 0.502 0.707
0.087 0.502 0.707
0.381 0.498 0.293
0.913 0.498 0.293
0.968 0.765 0.937
0.032 0.235 0.063
0.854 0.225 0.708
0.146 0.775 0.292
0.774 0.767 0.549
0.226 0.233 0.451
0.477 0.842 0.954
0.523 0.158 0.046
0.792 0.500 0.000
0.208 0.500 0.000
0.500 0.000 0.500
0.000 0.000 0.500
```

No. 2
BaTeO3 | PBE | relaxed

## Properties
The value obtained for the raw total energy is -29.61 eV/f.u. The calculation puts the formation energy without anion corrections at -1.935 eV per atom. As for the space-group type: No. 11. Its crystal system is monoclinic. The density of states at the Fermi level comes out at 0.00 states/eV/atom. The spin magnetization is 0.00 μB/f.u.

Cell and atoms, written as POSCAR:
```
BaTeO3
1.0
-0.276 -3.457 4.987
4.327 1.284 1.130
-0.574 5.959 4.099
Ba O Te
2 6 2
Direct
0.750 0.660 0.186
0.250 0.340 0.814
0.750 0.353 0.602
0.250 0.647 0.398
0.986 0.826 0.827
0.486 0.174 0.173
0.014 0.174 0.173
0.514 0.826 0.827
0.750 0.930 0.648
0.250 0.070 0.352
```

No. 3
BaThTe2O8 | PBE | relaxed

## Properties
The value obtained for the raw total energy is -77.35 eV/f.u. The calculation puts the formation energy without anion corrections at -1.838 eV per atom. As for the space-group type: No. 164. Its crystal system is trigonal. The density of states at the Fermi level comes out at 0.39 states/eV/atom. The spin magnetization is 1.34 μB/f.u.

Cell and atoms, written as POSCAR:
```
BaThTe2O8
1.0
-0.447 6.309 0.099
-1.241 -3.340 5.226
7.409 0.492 2.074
Ba Th Te O
1 1 2 8
Direct
0.000 0.000 0.000
0.000 0.000 0.500
0.667 0.333 0.249
0.333 0.667 0.751
0.333 0.667 0.988
0.312 0.155 0.300
0.845 0.157 0.300
0.667 0.333 0.012
0.155 0.843 0.700
0.688 0.845 0.700
0.157 0.312 0.700
0.843 0.688 0.300
```

No. 4
Ba2ThTeO6 | PBE | relaxed

## Properties
The value obtained for the raw total energy is -69.55 eV/f.u. The calculation puts the formation energy without anion corrections at -2.539 eV per atom. As for the space-group type: No. 2. Its crystal system is triclinic. The density of states at the Fermi level comes out at 0.00 states/eV/atom. The spin magnetization is 0.00 μB/f.u.

Cell and atoms, written as POSCAR:
```
Ba2ThTeO6
1.0
-6.101 -1.152 -1.044
-1.726 -2.984 -5.227
-2.170 -5.878 0.309
O Te Ba Th
6 1 2 1
Direct
0.700 0.212 0.790
0.301 0.789 0.701
0.824 0.665 0.255
0.300 0.788 0.210
0.176 0.335 0.745
0.699 0.211 0.299
0.500 0.500 0.500
0.738 0.759 0.752
0.262 0.241 0.248
0.000 0.000 0.000
```

No. 5
BaTiTe2O8 | PBE | relaxed

## Properties
The value obtained for the raw total energy is -76.48 eV/f.u. The calculation puts the formation energy without anion corrections at -1.726 eV per atom. As for the space-group type: No. 12. Its crystal system is monoclinic. The spin magnetization is 0.00 μB/f.u.

Cell and atoms, written as POSCAR:
```
BaTiTe2O8
1.0
5.302 0.729 -0.088
0.804 5.291 -0.104
-0.146 -0.118 7.623
Ba Ti Te O
1 1 2 8
Direct
0.000 0.000 0.500
0.000 0.000 0.000
0.397 0.397 0.832
0.603 0.603 0.168
0.237 0.810 0.187
0.774 0.774 0.021
0.810 0.237 0.187
0.763 0.190 0.813
0.226 0.226 0.979
0.190 0.763 0.813
0.690 0.691 0.393
0.310 0.309 0.607
```

No. 6
Ba2TiTe2O2 | PBE | relaxed

## Properties
The value obtained for the raw total energy is -41.53 eV/f.u. The calculation puts the formation energy without anion corrections at -1.942 eV per atom. As for the space-group type: No. 139. Its crystal system is tetragonal. The density of states at the Fermi level comes out at 0.09 states/eV/atom. The spin magnetization is 0.00 μB/f.u.

Cell and atoms, written as POSCAR:
```
Ba2TiTe2O2
1.0
-0.718 3.271 -2.878
-4.099 -1.496 -0.677
-0.482 4.130 8.200
Ba Ti Te O
2 1 2 2
Direct
0.392 0.392 0.785
0.608 0.608 0.215
0.000 0.000 0.000
0.170 0.170 0.340
0.830 0.830 0.660
0.000 0.500 0.000
0.500 0.000 0.000
```

No. 7
BaTi2TeO8 | PBE | relaxed

## Properties
The value obtained for the raw total energy is -88.71 eV/f.u. The calculation puts the formation energy without anion corrections at -2.349 eV per atom. As for the space-group type: No. 12. Its crystal system is monoclinic. The density of states at the Fermi level comes out at 0.00 states/eV/atom. The spin magnetization is 0.00 μB/f.u.

Cell and atoms, written as POSCAR:
```
BaTi2TeO8
1.0
-2.670 -2.929 3.522
3.095 -3.368 2.681
1.218 5.296 5.585
Ba Ti Te O
1 2 1 8
Direct
0.000 0.000 0.500
0.366 0.366 0.800
0.634 0.634 0.200
0.000 0.000 0.000
0.245 0.787 0.181
0.784 0.784 0.032
0.787 0.245 0.181
0.755 0.213 0.819
0.216 0.216 0.968
0.213 0.755 0.819
0.697 0.697 0.406
0.303 0.303 0.594
```

No. 8
BaTl2Te2O6 | PBE | relaxed

## Properties
The value obtained for the raw total energy is -57.54 eV/f.u. The calculation puts the formation energy without anion corrections at -1.350 eV per atom. As for the space-group type: No. 12. Its crystal system is monoclinic. The density of states at the Fermi level comes out at 0.00 states/eV/atom. The spin magnetization is 0.00 μB/f.u.

Cell and atoms, written as POSCAR:
```
BaTl2Te2O6
1.0
6.893 0.000 0.000
-3.447 5.349 0.019
0.000 -2.685 8.009
Ba Tl Te O
1 2 2 6
Direct
0.500 0.000 0.500
0.766 0.531 0.260
0.234 0.469 0.740
0.918 0.836 0.759
0.082 0.164 0.241
0.768 0.537 0.566
0.185 0.959 0.283
0.225 0.041 0.717
0.815 0.041 0.717
0.775 0.959 0.283
0.232 0.463 0.434
```

No. 9
BaTl2TeO6 | PBE | relaxed

## Properties
The value obtained for the raw total energy is -51.67 eV/f.u. The calculation puts the formation energy without anion corrections at -1.212 eV per atom. As for the space-group type: No. 14. Its crystal system is monoclinic. The density of states at the Fermi level comes out at 0.30 states/eV/atom. The spin magnetization is 0.00 μB/f.u.

Cell and atoms, written as POSCAR:
```
BaTl2TeO6
1.0
5.912 0.000 -0.016
0.000 6.625 0.000
0.031 0.000 8.385
Ba Tl Te O
2 4 2 12
Direct
0.500 0.000 0.000
0.000 0.500 0.500
0.000 0.998 0.272
0.500 0.502 0.772
0.000 0.002 0.728
0.500 0.498 0.228
0.500 0.000 0.500
0.000 0.500 0.000
0.279 0.659 0.002
0.779 0.841 0.502
0.721 0.341 0.998
0.221 0.159 0.498
0.357 0.825 0.335
0.857 0.675 0.835
0.643 0.175 0.665
0.143 0.325 0.165
0.861 0.666 0.172
0.361 0.834 0.672
0.139 0.334 0.828
0.639 0.166 0.328
```

No. 10
Ba2Tl2TeO6 | PBE | relaxed

## Properties
The value obtained for the raw total energy is -58.94 eV/f.u. The calculation puts the formation energy without anion corrections at -1.588 eV per atom. As for the space-group type: No. 12. Its crystal system is monoclinic. The density of states at the Fermi level comes out at 0.00 states/eV/atom. The spin magnetization is 0.00 μB/f.u.

Cell and atoms, written as POSCAR:
```
Ba2Tl2TeO6
1.0
-0.846 -6.225 1.839
6.073 2.040 -1.343
-0.441 2.625 5.860
Ba Tl Te O
2 2 1 6
Direct
0.335 0.665 0.500
0.665 0.335 0.500
0.844 0.156 0.000
0.156 0.844 0.000
0.000 0.000 0.500
0.823 0.823 0.714
0.050 0.301 0.659
0.177 0.177 0.286
0.301 0.050 0.659
0.950 0.699 0.341
0.699 0.950 0.341
```

No. 11
BaTlTe2O8 | PBE | relaxed

## Properties
The value obtained for the raw total energy is -63.58 eV/f.u. The calculation puts the formation energy without anion corrections at -1.112 eV per atom. As for the space-group type: No. 148. Its crystal system is trigonal. The density of states at the Fermi level comes out at 0.29 states/eV/atom. The spin magnetization is 0.00 μB/f.u.

Cell and atoms, written as POSCAR:
```
BaTlTe2O8
1.0
5.570 0.000 0.000
2.785 4.824 0.000
2.785 1.608 7.862
Ba Tl Te O
1 1 2 8
Direct
0.500 0.500 0.500
0.000 0.000 0.000
0.252 0.252 0.243
0.748 0.748 0.757
0.174 0.174 0.478
0.583 0.298 0.180
0.826 0.826 0.522
0.939 0.583 0.180
0.061 0.417 0.820
0.298 0.939 0.180
0.702 0.061 0.820
0.417 0.702 0.820
```

No. 12
Ba3TlTe2O8 | PBE | relaxed

## Properties
The value obtained for the raw total energy is -76.32 eV/f.u. The calculation puts the formation energy without anion corrections at -1.588 eV per atom. As for the space-group type: No. 164. Its crystal system is trigonal. The density of states at the Fermi level comes out at 0.32 states/eV/atom. The spin magnetization is 0.00 μB/f.u.

Cell and atoms, written as POSCAR:
```
Ba3TlTe2O8
1.0
-1.063 3.106 -5.333
5.020 -3.709 0.517
-4.456 -6.427 -2.855
Ba Tl Te O
3 1 2 8
Direct
0.333 0.667 0.643
0.667 0.333 0.357
0.000 0.000 0.000
0.000 0.000 0.500
0.333 0.667 0.180
0.667 0.333 0.820
0.333 0.667 0.933
0.667 0.333 0.067
0.174 0.826 0.294
0.826 0.174 0.706
0.174 0.348 0.294
0.826 0.652 0.706
0.652 0.826 0.294
0.348 0.174 0.706
```